No. 1
Below is a relaxed LaZn3Rh crystal, with properties calculated at the PBE-GGA level.

CIF file:
```
data_LaZn3Rh
_symmetry_space_group_name_H-M 'P 1'
_symmetry_Int_Tables_number 1
_cell_length_a 6.7905
_cell_length_b 6.7905
_cell_length_c 6.7905
_cell_angle_alpha 136.55
_cell_angle_beta 101.91
_cell_angle_gamma 93.88
loop_
_symmetry_equiv_pos_as_xyz
'x,y,z'
loop_
_atom_site_label
_atom_site_type_symbol
_atom_site_fract_x
_atom_site_fract_y
_atom_site_fract_z
La1 La 0.2777 0.0277 0.2500
La2 La 0.7223 0.9723 0.7500
Zn1 Zn 0.0814 0.3314 0.7500
Zn2 Zn 0.2486 0.0000 0.7486
Zn3 Zn 0.2486 0.5000 0.2486
Zn4 Zn 0.7514 0.0000 0.2514
Zn5 Zn 0.7514 0.5000 0.7514
Zn6 Zn 0.9186 0.6686 0.2500
Rh1 Rh 0.0000 0.5000 0.5000
Rh2 Rh 0.5000 0.5000 0.0000
```

Computed properties:
The density of states at the Fermi level is 5.5 states/eV/cell. The value obtained for the total energy is -17.841 eV per formula unit. The space group is Imma, No. 74. As for the formation energy: -0.35 eV per atom. The distance to the lowest polymorph of the same formula is 92 meV per atom.

No. 2
Below is a relaxed Sm2AsF crystal, with properties calculated at the PBE-GGA level.

CIF file:
```
data_Sm2AsF
_symmetry_space_group_name_H-M 'P 1'
_symmetry_Int_Tables_number 1
_cell_length_a 8.1576
_cell_length_b 8.1576
_cell_length_c 8.1576
_cell_angle_alpha 29.37
_cell_angle_beta 29.37
_cell_angle_gamma 29.37
loop_
_symmetry_equiv_pos_as_xyz
'x,y,z'
loop_
_atom_site_label
_atom_site_type_symbol
_atom_site_fract_x
_atom_site_fract_y
_atom_site_fract_z
Sm1 Sm 0.0963 0.0963 0.0963
Sm2 Sm 0.9037 0.9037 0.9037
As1 As 0.5000 0.5000 0.5000
F1 F 0.0000 0.0000 0.0000
```

Computed properties:
The density of states at the Fermi level is 2.1 states/eV/cell. The value obtained for the total energy is -23.634 eV per formula unit. The space group is R-3m, No. 166.